VASP calculation (PBE) on RbPtI after structural relaxation.

Results
- ΔE to the lowest computed polymorph: 31 meV per atom
- Calculated total energy: -3.3773 eV per atom
- Energy relative to the elements, uncorrected: -51 kJ per mole of atoms

Cell: 16.6032 6.7541 6.7541 Å, 145.59 145.35 34.65°
Last column: nearest neighbours and their distance in Å.
Sites, in units of the cell vectors:
Pt (0.5548, 0.7254, 0.2746)  2 Pt 2.64, 2 I 2.73
Pt (0.3653, 0.4861, 0.5139)  2 Pt 2.64, 2 I 2.74
I (0.1832, 0.2718, 0.7282)  2 Pt 2.74
I (0.7755, 0.9810, 0.0190)  2 Pt 2.73
Rb (0.1553, 0.0375, 0.9625)  5 I 3.43-3.79, 3 Pt 3.55-3.77
Rb (0.5889, 0.9428, 0.0572)  1 Pt 3.31, 1 I 3.53